No. 1
Here is ZrTcOs2 at its PBEsol-relaxed geometry from the Alexandria database. Energies are from meta-GGA SCAN.

The structure in POSCAR format:
```
ZrTcOs2
1.0
-1.9812 1.9812 3.9362
1.9812 -1.9812 3.9362
1.9812 1.9812 -3.9362
Zr Tc Os
1 1 2
Cartesian
0.0000 0.0000 0.0000
0.0000 0.0000 3.9362
1.9812 0.0000 1.9681
0.0000 1.9812 1.9681
```

Output
Polymorph energy (0 for the lowest one)   0.060 eV/atom
E_form   0.00 eV/atom



No. 2
Here is ZrTcOs2 at its PBEsol-relaxed geometry from the Alexandria database. Energies are from meta-GGA SCAN.

The structure in POSCAR format:
```
ZrTcOs2
1.0
2.8064 0.0000 0.0000
0.0000 2.8064 0.0000
0.0000 0.0000 7.8760
Zr Tc Os
1 1 2
Cartesian
0.0000 0.0000 0.0000
0.0000 0.0000 3.9380
1.4032 1.4032 2.1759
1.4032 1.4032 5.7000
```

Output
Polymorph energy (0 for the lowest one)   0.000 eV/atom
E_form   -0.06 eV/atom



No. 3
Here is ZrTcOs at its PBEsol-relaxed geometry from the Alexandria database. Energies are from meta-GGA SCAN.

The structure in POSCAR format:
```
ZrTcOs
1.0
-1.5980 1.5980 4.7323
1.5980 -1.5980 4.7323
1.5980 1.5980 -4.7323
Zr Tc Os
1 1 1
Cartesian
0.0000 0.0000 0.0000
0.0000 0.0000 3.1483
0.0000 0.0000 6.3379
```

Output
E_form   -0.09 eV/atom



No. 4
Here is Zr3TcOs at its PBEsol-relaxed geometry from the Alexandria database. Energies are from meta-GGA SCAN.

The structure in POSCAR format:
```
Zr3TcOs
1.0
4.9082 0.0000 0.0000
0.0000 4.9082 0.0000
0.0000 0.0000 4.9082
Zr Tc Os
3 1 1
Cartesian
0.0000 0.0000 2.4541
0.0000 2.4541 0.0000
2.4541 0.0000 0.0000
2.4541 2.4541 2.4541
0.0000 0.0000 0.0000
```

Output
Polymorph energy (0 for the lowest one)   0.000 eV/atom
E_form   0.70 eV/atom



No. 5
Here is ZrTc2Os at its PBEsol-relaxed geometry from the Alexandria database. Energies are from meta-GGA SCAN.

The structure in POSCAR format:
```
ZrTc2Os
1.0
2.7876 0.0000 0.0000
0.0000 2.7876 0.0000
0.0000 0.0000 8.0530
Zr Tc Os
1 2 1
Cartesian
0.0000 0.0000 0.0000
0.0000 0.0000 3.9420
1.3938 1.3938 5.7898
1.3938 1.3938 2.2160
```

Output
Polymorph energy (0 for the lowest one)   0.000 eV/atom
E_form   0.01 eV/atom



No. 6
Here is ZrTcOs2 at its PBEsol-relaxed geometry from the Alexandria database. Energies are from meta-GGA SCAN.

The structure in POSCAR format:
```
ZrTcOs2
1.0
4.5313 0.0000 0.0000
0.0000 4.5313 0.0000
0.0000 0.0000 3.0235
Zr Tc Os
1 1 2
Cartesian
0.0000 0.0000 0.0000
2.2657 2.2657 0.0000
0.0000 2.2657 1.5117
2.2657 0.0000 1.5117
```

Output
Polymorph energy (0 for the lowest one)   0.052 eV/atom
E_form   -0.01 eV/atom